Entry 1:
Computed, not measured: a geometry-optimized Li2CdGe2 structure at the PBEsol level of DFT.

Lattice parameters (Å, degrees): 7.703 7.703 2.909 90.00 90.00 90.00
Sites, in units of the cell vectors:
Li1 0.186 0.314 0.000
Li2 0.314 0.814 0.000
Li3 0.686 0.186 0.000
Li4 0.814 0.686 0.000
Cd1 0.000 0.000 0.500
Cd2 0.500 0.500 0.500
Ge1 0.115 0.615 0.500
Ge2 0.385 0.115 0.500
Ge3 0.615 0.885 0.500
Ge4 0.885 0.385 0.500

The raw total energy is -15.928 eV/f.u. The value obtained for the formation energy from the elements is -0.184 eV per atom.

Entry 2:
Computed, not measured: a geometry-optimized NaLi2CdGe structure at the PBEsol level of DFT.

Lattice parameters (Å, degrees): 4.891 4.891 5.363 90.00 90.00 90.00
Sites, in units of the cell vectors:
Na1 0.000 0.000 0.000
Li1 0.000 0.500 0.500
Li2 0.500 0.000 0.500
Cd1 0.500 0.500 0.000
Ge1 0.000 0.000 0.500

The raw total energy is -10.707 eV/f.u. The value obtained for the formation energy from the elements is 0.153 eV per atom.

Entry 3:
Computed, not measured: a geometry-optimized Mg3CdGe structure at the PBEsol level of DFT.

Lattice parameters (Å, degrees): 5.037 5.037 5.037 90.00 90.00 90.00
Sites, in units of the cell vectors:
Mg1 0.000 0.000 0.500
Mg2 0.000 0.500 0.000
Mg3 0.500 0.000 0.000
Cd1 0.500 0.500 0.500
Ge1 0.000 0.000 0.000

The raw total energy is -10.627 eV/f.u. The value obtained for the formation energy from the elements is 0.132 eV per atom.

Entry 4:
Computed, not measured: a geometry-optimized Mg3CdGe structure at the PBEsol level of DFT.

Lattice parameters (Å, degrees): 5.107 5.107 5.107 90.00 90.00 90.00
Sites, in units of the cell vectors:
Mg1 0.000 0.000 0.500
Mg2 0.000 0.500 0.000
Mg3 0.500 0.000 0.000
Cd1 0.000 0.000 0.000
Ge1 0.500 0.500 0.500

The raw total energy is -8.912 eV/f.u. The value obtained for the formation energy from the elements is 0.475 eV per atom.

Entry 5:
Computed, not measured: a geometry-optimized MnCd3Ge structure at the PBEsol level of DFT.

Lattice parameters (Å, degrees): 5.072 5.072 5.072 90.00 90.00 90.00
Sites, in units of the cell vectors:
Mn1 0.000 0.000 0.000
Cd1 0.000 0.500 0.500
Cd2 0.500 0.000 0.500
Cd3 0.500 0.500 0.000
Ge1 0.500 0.500 0.500

The raw total energy is -13.955 eV/f.u. The value obtained for the formation energy from the elements is 0.867 eV per atom.

Entry 6:
Computed, not measured: a geometry-optimized Cd2Ge2Mo structure at the PBEsol level of DFT.

Lattice parameters (Å, degrees): 3.551 3.551 15.796 90.00 90.00 90.00
Sites, in units of the cell vectors:
Cd1 0.000 0.000 0.095
Cd2 0.000 0.000 0.905
Cd3 0.500 0.500 0.405
Cd4 0.500 0.500 0.595
Ge1 0.000 0.500 0.250
Ge2 0.000 0.500 0.750
Ge3 0.500 0.000 0.250
Ge4 0.500 0.000 0.750
Mo1 0.000 0.000 0.500
Mo2 0.500 0.500 0.000

The raw total energy is -20.396 eV/f.u. The value obtained for the formation energy from the elements is 0.729 eV per atom.

Entry 7:
Computed, not measured: a geometry-optimized CdGeMo3 structure at the PBEsol level of DFT.

Lattice parameters (Å, degrees): 4.580 4.580 4.580 90.00 90.00 90.00
Sites, in units of the cell vectors:
Cd1 0.000 0.000 0.000
Ge1 0.500 0.500 0.500
Mo1 0.000 0.500 0.500
Mo2 0.500 0.000 0.500
Mo3 0.500 0.500 0.000

The raw total energy is -34.804 eV/f.u. The value obtained for the formation energy from the elements is 1.327 eV per atom.

Entry 8:
Computed, not measured: a geometry-optimized ZrCd2GeMo structure at the PBEsol level of DFT.

Lattice parameters (Å, degrees): 5.039 5.039 4.669 90.00 90.00 90.00
Sites, in units of the cell vectors:
Zr1 0.000 0.000 0.000
Cd1 0.000 0.500 0.500
Cd2 0.500 0.000 0.500
Ge1 0.500 0.500 0.000
Mo1 0.500 0.500 0.500

The raw total energy is -23.596 eV/f.u. The value obtained for the formation energy from the elements is 0.919 eV per atom.